1.
## BaZr2Te (PBE)

Data for a relaxed BaZr2Te crystal.

Space-group type = No. 122
ΔE_f (raw) = 0.09 eV/atom

Cell lengths 4.659, 4.659, 11.296 Å; angles 78.10, 78.10, 90.00 degrees
Element x y z (fractional)
Zr1 0.590 0.125 0.250
Ba1 0.750 0.250 0.500
Zr2 0.160 0.625 0.250
Zr3 0.875 0.840 0.750
Zr4 0.375 0.410 0.750
Te1 0.500 0.500 0.000
Te2 0.250 0.750 0.500
Ba2 0.000 0.000 0.000


2.
## BaZr4Te8 (PBE)

Data for a relaxed BaZr4Te8 crystal.

Space-group type = No. 166
ΔE_f (raw) = -1.02 eV/atom

Cell lengths 8.046, 8.046, 9.761 Å; angles 65.66, 65.66, 60.00 degrees
Element x y z (fractional)
Zr1 0.500 0.500 0.000
Te1 0.767 0.767 0.209
Te2 0.233 0.233 0.791
Te3 0.742 0.233 0.791
Zr2 0.000 0.000 0.000
Te4 0.233 0.742 0.791
Te5 0.767 0.258 0.209
Zr3 0.000 0.500 0.000
Te6 0.264 0.264 0.207
Te7 0.258 0.767 0.209
Te8 0.736 0.736 0.793
Zr4 0.500 0.000 0.000
Ba1 0.500 0.500 0.500


3.
## BaZrTe4 (PBE)

Data for a relaxed BaZrTe4 crystal.

Space-group type = No. 216
ΔE_f (raw) = 0.12 eV/atom
Distance to the lowest polymorph of the same formula = 1030.1 meV/atom

Cell lengths 6.506, 6.506, 6.506 Å; angles 60.00, 60.00, 60.00 degrees
Element x y z (fractional)
Zr1 0.750 0.750 0.750
Te1 0.376 0.376 0.872
Te2 0.376 0.376 0.376
Te3 0.376 0.872 0.376
Ba1 0.000 0.000 0.000
Te4 0.872 0.376 0.376